# 1
Zr2CrRh | PBE | relaxed

Its energy of formation is 1.743 eV per formula unit. Its magnetic moment is 6.88 μB per cell. The calculation puts the calculated volume at 160 Å³ per cell. The total energy comes out at -64.66 eV per cell. The value obtained for the energy above the lowest structure with this stoichiometry is 788 meV per atom.

Unit cell a=9.7001 b=9.7001 c=9.7001 alpha=155.20 beta=155.20 gamma=35.36
Atoms (fractional coordinates):
Zr 0.1207 0.6250 0.9957
Zr 0.3750 0.3707 0.4957
Zr 0.6293 0.1250 0.0043
Zr 0.8750 0.8793 0.5043
Cr 0.2500 0.7500 0.5000
Cr 0.5000 0.5000 0.0000
Rh 0.0000 0.0000 0.0000
Rh 0.7500 0.2500 0.5000

***

# 2
Zr2CrRh | PBE | relaxed

Its energy of formation is 0.170 eV per formula unit. Its magnetic moment is 1.61 μB per cell. The calculation puts the calculated volume at 73 Å³ per cell. The total energy comes out at -33.90 eV per cell. The value obtained for the energy above the lowest structure with this stoichiometry is 395 meV per atom.

Unit cell a=4.4991 b=4.4991 c=5.6824 alpha=97.91 beta=97.91 gamma=39.92
Atoms (fractional coordinates):
Zr 0.2496 0.2496 0.2436
Zr 0.7504 0.7504 0.7564
Cr 0.5000 0.5000 0.0000
Rh 0.0000 0.0000 0.5000